No. 1
# MgZr2Os2 GGA-PBE optimized geometry
# Space group   P4/mbm, No. 127
# ΔE_f   -0.18 eV per atom
# Electronic total energy   -0.61789 Ry/atom
# D(E_F)   5.73 states/eV per cell
# Mass density   10.2 g/cm3
data_MgZr2Os2
_symmetry_space_group_name_H-M 'P 1'
_symmetry_Int_Tables_number 1
_symmetry_space_group_name_Hall 'P 1'
_cell_length_a 7.678
_cell_length_b 7.678
_cell_length_c 3.259
_cell_angle_alpha 90.00
_cell_angle_beta 90.00
_cell_angle_gamma 90.00
loop_
_atom_site_label
_atom_site_type_symbol
_atom_site_fract_x
_atom_site_fract_y
_atom_site_fract_z
Mg1 Mg 0.000 0.000 0.000
Mg2 Mg 0.500 0.500 0.000
Zr1 Zr 0.154 0.346 0.500
Zr2 Zr 0.346 0.846 0.500
Zr3 Zr 0.654 0.154 0.500
Zr4 Zr 0.846 0.654 0.500
Os1 Os 0.143 0.643 0.000
Os2 Os 0.357 0.143 0.000
Os3 Os 0.643 0.857 0.000
Os4 Os 0.857 0.357 0.000



No. 2
# SrLa2Cu2Ge2 GGA-PBE optimized geometry
# Space group   R-3m, No. 166
# ΔE_f   -0.46 eV per atom
# Electronic total energy   -0.33815 Ry/atom
# D(E_F)   1.92 states/eV per cell
# Mass density   6.4 g/cm3
data_SrLa2Cu2Ge2
_symmetry_space_group_name_H-M 'P 1'
_symmetry_Int_Tables_number 1
_symmetry_space_group_name_Hall 'P 1'
_cell_length_a 10.097
_cell_length_b 10.097
_cell_length_c 10.097
_cell_angle_alpha 25.40
_cell_angle_beta 25.40
_cell_angle_gamma 25.40
loop_
_atom_site_label
_atom_site_type_symbol
_atom_site_fract_x
_atom_site_fract_y
_atom_site_fract_z
Sr1 Sr 0.000 0.000 0.000
La1 La 0.134 0.134 0.134
La2 La 0.866 0.866 0.866
Cu1 Cu 0.411 0.411 0.411
Cu2 Cu 0.589 0.589 0.589
Ge1 Ge 0.257 0.257 0.257
Ge2 Ge 0.743 0.743 0.743



No. 3
# ErHf2U GGA-PBE optimized geometry
# Space group   R-3m, No. 166
# ΔE_f   0.42 eV per atom
# Electronic total energy   -0.62630 Ry/atom
# D(E_F)   9.80 states/eV per cell
# Mass density   12.9 g/cm3
data_ErHf2U
_symmetry_space_group_name_H-M 'P 1'
_symmetry_Int_Tables_number 1
_symmetry_space_group_name_Hall 'P 1'
_cell_length_a 5.334
_cell_length_b 5.334
_cell_length_c 5.334
_cell_angle_alpha 56.27
_cell_angle_beta 56.27
_cell_angle_gamma 56.27
loop_
_atom_site_label
_atom_site_type_symbol
_atom_site_fract_x
_atom_site_fract_y
_atom_site_fract_z
Er1 Er 0.000 0.000 0.000
Hf1 Hf 0.229 0.229 0.229
Hf2 Hf 0.771 0.771 0.771
U1 U 0.500 0.500 0.500



No. 4
# ReTc2HW GGA-PBE optimized geometry
# Space group   P4/mmm, No. 123
# Electronic total energy   -0.72014 Ry/atom
# D(E_F)   4.04 states/eV per cell
# Mass density   15.1 g/cm3
data_ReTc2HW
_symmetry_space_group_name_H-M 'P 1'
_symmetry_Int_Tables_number 1
_symmetry_space_group_name_Hall 'P 1'
_cell_length_a 3.950
_cell_length_b 3.950
_cell_length_c 3.995
_cell_angle_alpha 90.00
_cell_angle_beta 90.00
_cell_angle_gamma 90.00
loop_
_atom_site_label
_atom_site_type_symbol
_atom_site_fract_x
_atom_site_fract_y
_atom_site_fract_z
Re1 Re 0.000 0.000 0.000
Tc1 Tc 0.000 0.500 0.500
Tc2 Tc 0.500 0.000 0.500
H1 H 0.500 0.500 0.500
W1 W 0.500 0.500 0.000